1.
LaY2Hg | PBE | relaxed

Calculated values
Calculated total energy (Ry per atom): -0.345
Symmetry: No. 10

abc: 3.721 5.132 6.701
angles: 90.00 104.72 90.00
Fractional positions:
La 0.000 0.000 0.000
Y 0.390 0.500 0.728
Y 0.610 0.500 0.272
Hg 0.000 0.000 0.500



2.
LaY3Hg6 | PBE | relaxed

Calculated values
Calculated total energy (Ry per atom): -0.226
Symmetry: No. 11

abc: 9.291 5.225 11.317
angles: 90.00 107.27 90.00
Fractional positions:
La 0.068 0.250 0.382
La 0.932 0.750 0.618
Y 0.230 0.250 0.003
Y 0.352 0.750 0.807
Y 0.491 0.250 0.613
Y 0.509 0.750 0.387
Y 0.648 0.250 0.193
Y 0.770 0.750 0.997
Hg 0.063 0.750 0.912
Hg 0.144 0.750 0.207
Hg 0.179 0.250 0.692
Hg 0.258 0.750 0.524
Hg 0.361 0.250 0.289
Hg 0.465 0.750 0.094
Hg 0.535 0.250 0.906
Hg 0.639 0.750 0.711
Hg 0.742 0.250 0.476
Hg 0.821 0.750 0.308
Hg 0.856 0.250 0.793
Hg 0.937 0.250 0.088



3.
LaY2Hg8 | PBE | relaxed

Calculated values
Calculated total energy (Ry per atom): -0.160
Symmetry: No. 71

abc: 8.756 8.756 8.756
angles: 145.64 130.41 61.73
Fractional positions:
La 0.000 0.000 0.000
Y 0.312 0.312 0.000
Y 0.688 0.688 0.000
Hg 0.130 0.844 0.285
Hg 0.157 0.657 0.500
Hg 0.295 0.500 0.795
Hg 0.441 0.156 0.285
Hg 0.559 0.844 0.715
Hg 0.705 0.500 0.205
Hg 0.843 0.343 0.500
Hg 0.870 0.156 0.715



4.
La5Y4Hg4 | PBE | relaxed

Calculated values
Calculated total energy (Ry per atom): -0.315
Symmetry: No. 87

abc: 9.204 9.204 9.204
angles: 94.67 94.67 146.83
Fractional positions:
La 0.000 0.000 0.000
La 0.313 0.379 0.692
La 0.379 0.687 0.065
La 0.621 0.313 0.935
La 0.687 0.621 0.308
Y 0.095 0.603 0.698
Y 0.397 0.095 0.493
Y 0.603 0.905 0.507
Y 0.905 0.397 0.302
Hg 0.091 0.245 0.336
Hg 0.245 0.909 0.154
Hg 0.755 0.091 0.846
Hg 0.909 0.755 0.664



5.
LaY2Hg2 | PBE | relaxed

Calculated values
Calculated total energy (Ry per atom): -0.290
Symmetry: No. 139

abc: 7.282 7.282 7.282
angles: 140.49 140.49 57.10
Fractional positions:
La 0.000 0.000 0.000
Y 0.250 0.750 0.500
Y 0.750 0.250 0.500
Hg 0.392 0.392 0.000
Hg 0.608 0.608 0.000



6.
La2YHg8 | PBE | relaxed

Calculated values
Calculated total energy (Ry per atom): -0.152
Symmetry: No. 71

abc: 8.690 8.690 8.690
angles: 144.62 128.49 64.04
Fractional positions:
La 0.198 0.198 0.000
La 0.802 0.802 0.000
Y 0.500 0.500 0.000
Hg 0.069 0.362 0.707
Hg 0.218 0.000 0.218
Hg 0.344 0.844 0.500
Hg 0.345 0.638 0.707
Hg 0.655 0.362 0.293
Hg 0.656 0.156 0.500
Hg 0.782 0.000 0.782
Hg 0.931 0.638 0.293



| no. | energy relative to the elements (eV per atom) |
| --- | --- |
| 1 | -0.154 |
| 2 | -0.455 |
| 3 | -0.334 |
| 4 | -0.315 |
| 5 | -0.251 |
| 6 | -0.372 |